## LaSbPb (PBE)

Data for a relaxed structure of LaSbPb.

Lattice parameters (Å, degrees): 4.597 4.610 8.960 104.91 90.00 90.00
Element x y z (fractional)
Pb: 0.750 0.249 0.499
Pb: 0.250 0.751 0.501
Sb: 0.750 0.571 0.143
Sb: 0.250 0.429 0.857
La: 0.750 0.906 0.811
La: 0.250 0.094 0.189

Properties
uncorrected formation energy	-0.70	eV/atom



## Tb4Rh2Au5 (PBE)

Data for a relaxed structure of Tb4Rh2Au5.

Lattice parameters (Å, degrees): 3.726 7.333 8.846 94.90 90.00 90.00
Element x y z (fractional)
Au: 0.000 0.833 0.862
Au: 0.000 0.541 0.331
Au: 0.000 0.167 0.138
Au: 0.000 0.459 0.669
Au: 0.000 0.500 0.000
Tb: 0.500 0.803 0.139
Tb: 0.500 0.765 0.572
Tb: 0.500 0.235 0.428
Tb: 0.500 0.197 0.861
Rh: 0.000 0.924 0.357
Rh: 0.000 0.076 0.643

Properties
energy of formation	-0.80	eV per atom



## La5Ho2Tm (PBE)

Data for a relaxed structure of La5Ho2Tm.

Lattice parameters (Å, degrees): 5.662 6.692 16.516 90.00 90.00 115.02
Element x y z (fractional)
Ho: 0.774 0.548 0.363
Ho: 0.774 0.548 0.137
Ho: 0.226 0.452 0.637
Ho: 0.226 0.452 0.863
La: 0.077 0.153 0.406
La: 0.386 0.771 0.052
La: 0.470 0.939 0.750
La: 0.077 0.153 0.094
La: 0.530 0.061 0.250
La: 0.386 0.771 0.448
La: 0.614 0.229 0.948
La: 0.614 0.229 0.552
La: 0.923 0.847 0.906
La: 0.923 0.847 0.594
Tm: 0.749 0.498 0.750
Tm: 0.251 0.502 0.250

Properties
energy of formation	0.12	eV per atom



no.,total moment (μB/atom)
1,0.00
2,0.00
3,0.00